Version one
Here is an optimized crystal structure of MnNi2Pt6 from Alexandria via LeMat-Bulk. Energies are from PBE.

Lattice parameters (Å, degrees): 4.5490 7.2549 5.9440 127.61 112.50 90.00
Positions (direct):
Mn  0.0000  0.0000  0.0000
Ni  0.3340  0.3340  0.6680
Ni  0.6660  0.6660  0.3320
Pt  0.5000  0.1970  0.0000
Pt  0.8316  0.5225  0.6631
Pt  0.1684  0.8594  0.3369
Pt  0.5000  0.8030  0.0000
Pt  0.8316  0.1406  0.6631
Pt  0.1684  0.4775  0.3369

Values from the calculation:
- Magnetization: 6.86 Bohr magnetons per cell
- SG: Immm
- ρ: 16.39 g/cm3

Version two
Here is an optimized crystal structure of MnNi2Pt6 from Alexandria via LeMat-Bulk. Energies are from PBE.

Lattice parameters (Å, degrees): 3.8958 4.7063 8.2826 72.31 76.40 65.55
Positions (direct):
Mn  0.0000  0.5000  0.5000
Ni  0.3333  0.6120  0.7214
Ni  0.6667  0.3880  0.2786
Pt  0.6671  0.7208  0.9449
Pt  0.3329  0.2792  0.0551
Pt  0.9994  0.8222  0.1790
Pt  0.3338  0.9378  0.3946
Pt  0.0006  0.1778  0.8210
Pt  0.6662  0.0622  0.6054

Values from the calculation:
- Magnetization: 5.94 Bohr magnetons per cell
- SG: C2/m
- ρ: 17.07 g/cm3

Which is most stable, and by how much? version two, by 113 meV per atom.

Version one
Here is an optimized crystal structure of MnReNi from Alexandria via LeMat-Bulk. Energies are from PBE.

Lattice parameters (Å, degrees): 2.6365 2.6365 6.2722 90.00 90.00 120.00
Positions (direct):
Mn  0.0000  0.0000  0.0037
Ni  0.6667  0.3333  0.3233
Re  0.3333  0.6667  0.6730

Values from the calculation:
- Magnetization: 0.25 Bohr magnetons per cell
- SG: P3m1
- ρ: 13.19 g/cm3

Version two
Here is an optimized crystal structure of MnReNi from Alexandria via LeMat-Bulk. Energies are from PBE.

Lattice parameters (Å, degrees): 3.9170 3.9170 3.9170 60.00 60.00 60.00
Positions (direct):
Mn  0.7500  0.7500  0.7500
Ni  0.0000  0.0000  0.0000
Re  0.5000  0.5000  0.5000

Values from the calculation:
- Magnetization: 0.18 Bohr magnetons per cell
- SG: F-43m
- ρ: 11.72 g/cm3

Which is most stable, and by how much? version one, by 387 meV per atom.

Version one
Here is an optimized crystal structure of MnReNi3 from Alexandria via LeMat-Bulk. Energies are from PBE.

Lattice parameters (Å, degrees): 4.1445 4.1445 4.1445 90.00 90.00 90.00
Positions (direct):
Re  0.5000  0.5000  0.5000
Mn  0.0000  0.0000  0.0000
Ni  0.0000  0.5000  0.0000
Ni  0.0000  0.0000  0.5000
Ni  0.5000  0.0000  0.0000

Values from the calculation:
- Magnetization: 3.37 Bohr magnetons per cell
- SG: Pm-3m
- ρ: 9.73 g/cm3

Version two
Here is an optimized crystal structure of MnReNi3 from Alexandria via LeMat-Bulk. Energies are from PBE.

Lattice parameters (Å, degrees): 4.5402 4.6853 6.5002 111.12 74.88 90.00
Positions (direct):
Mn  0.7971  0.4344  0.8689
Mn  0.2029  0.5656  0.1311
Re  0.9013  0.7966  0.5933
Re  0.0987  0.2034  0.4067
Ni  0.6414  0.8987  0.3028
Ni  0.6414  0.4041  0.3028
Ni  0.3586  0.5959  0.6972
Ni  0.3586  0.1013  0.6972
Ni  0.0000  0.0000  0.0000
Ni  0.5000  0.0000  0.0000

Values from the calculation:
- Magnetization: 9.00 Bohr magnetons per cell
- SG: C2/m
- ρ: 11.19 g/cm3

Which is most stable, and by how much? version two, by 1433 meV per atom.

Version one
Here is an optimized crystal structure of MnNiRh3 from Alexandria via LeMat-Bulk. Energies are from PBE.

Lattice parameters (Å, degrees): 4.3942 4.3942 4.3942 90.00 90.00 90.00
Positions (direct):
Ni  0.5000  0.5000  0.5000
Mn  0.0000  0.0000  0.0000
Rh  0.0000  0.5000  0.0000
Rh  0.0000  0.0000  0.5000
Rh  0.5000  0.0000  0.0000

Values from the calculation:
- Magnetization: 0.95 Bohr magnetons per cell
- SG: Pm-3m
- ρ: 8.27 g/cm3

Version two
Here is an optimized crystal structure of MnNiRh3 from Alexandria via LeMat-Bulk. Energies are from PBE.

Lattice parameters (Å, degrees): 3.8072 5.3094 13.2049 90.00 90.00 90.00
Positions (direct):
Mn  0.2500  0.1043  0.3506
Mn  0.7500  0.8957  0.6494
Mn  0.7500  0.3957  0.8506
Mn  0.2500  0.6043  0.1494
Ni  0.2500  0.6333  0.5493
Ni  0.7500  0.3667  0.4507
Ni  0.7500  0.8667  0.0493
Ni  0.2500  0.1333  0.9507
Rh  0.7500  0.3466  0.2529
Rh  0.2500  0.6352  0.9511
Rh  0.2500  0.0995  0.1458
Rh  0.2500  0.5995  0.3542
Rh  0.2500  0.1352  0.5489
Rh  0.7500  0.4005  0.6458
Rh  0.2500  0.1534  0.7529
Rh  0.7500  0.9005  0.8542
Rh  0.7500  0.3648  0.0489
Rh  0.7500  0.8466  0.2471
Rh  0.7500  0.8648  0.4511
Rh  0.2500  0.6534  0.7471

Values from the calculation:
- Magnetization: 9.84 Bohr magnetons per cell
- SG: Pnma
- ρ: 10.51 g/cm3

Which is most stable, and by how much? version two, by 1225 meV per atom.

Version one
Here is an optimized crystal structure of MnNi4Rh from Alexandria via LeMat-Bulk. Energies are from PBE.

Lattice parameters (Å, degrees): 4.6926 4.6926 4.6926 60.00 60.00 60.00
Positions (direct):
Mn  0.0000  0.0000  0.0000
Ni  0.8748  0.3751  0.3751
Ni  0.3751  0.3751  0.8748
Ni  0.3751  0.8748  0.3751
Ni  0.3751  0.3751  0.3751
Rh  0.7500  0.7500  0.7500

Values from the calculation:
- Magnetization: 7.04 Bohr magnetons per cell
- SG: F-43m
- ρ: 8.92 g/cm3

Version two
Here is an optimized crystal structure of MnNi4Rh from Alexandria via LeMat-Bulk. Energies are from PBE.

Lattice parameters (Å, degrees): 6.3152 5.1145 5.1210 119.96 90.88 90.00
Positions (direct):
Mn  0.3297  0.0929  0.1859
Mn  0.6703  0.9071  0.8141
Ni  0.9985  0.2490  0.4981
Ni  0.6772  0.4072  0.3227
Ni  0.0000  0.2508  0.0000
Ni  0.3228  0.0845  0.6773
Ni  0.0015  0.7510  0.5019
Ni  0.3228  0.5928  0.6773
Ni  0.0000  0.7492  0.0000
Ni  0.6772  0.9155  0.3227
Rh  0.6624  0.4111  0.8223
Rh  0.3376  0.5889  0.1777

Values from the calculation:
- Magnetization: 12.66 Bohr magnetons per cell
- SG: C2/m
- ρ: 9.10 g/cm3

Which is most stable, and by how much? version two, by 49 meV per atom.

Version one
Here is an optimized crystal structure of MnNi6Rh from Alexandria via LeMat-Bulk. Energies are from PBE.

Lattice parameters (Å, degrees): 3.6015 5.1028 5.1028 89.99 90.00 90.00
Positions (direct):
Mn  0.5000  0.0000  0.0000
Ni  0.0000  0.7510  0.2490
Ni  0.0000  0.2490  0.7510
Ni  0.0000  0.7510  0.7510
Ni  0.0000  0.2490  0.2490
Ni  0.5000  0.5000  0.0000
Ni  0.5000  0.0000  0.5000
Rh  0.5000  0.5000  0.5000

Values from the calculation:
- Magnetization: 8.83 Bohr magnetons per cell
- SG: P4/mmm
- ρ: 9.03 g/cm3

Version two
Here is an optimized crystal structure of MnNi6Rh from Alexandria via LeMat-Bulk. Energies are from PBE.

Lattice parameters (Å, degrees): 6.2381 6.2381 10.2064 90.00 90.00 109.55
Positions (direct):
Mn  0.2506  0.7494  0.7501
Mn  0.7494  0.2506  0.7501
Mn  0.5000  0.5000  0.5027
Mn  0.5000  0.5000  0.9974
Ni  0.2504  0.7496  0.5011
Ni  0.8746  0.6236  0.6263
Ni  0.1254  0.3764  0.6263
Ni  0.7496  0.2504  0.5011
Ni  0.3764  0.1254  0.6263
Ni  0.6236  0.8746  0.6263
Ni  0.5000  0.5000  0.2500
Ni  0.1271  0.3763  0.3772
Ni  0.3763  0.1271  0.3772
Ni  0.2504  0.7496  0.9990
Ni  0.8729  0.6237  0.1230
Ni  0.1271  0.3763  0.1230
Ni  0.7496  0.2504  0.9990
Ni  0.3763  0.1271  0.1230
Ni  0.6237  0.8729  0.1230
Ni  0.5000  0.5000  0.7501
Ni  0.1254  0.3764  0.8738
Ni  0.3764  0.1254  0.8738
Ni  0.0000  0.0000  0.2501
Ni  0.6237  0.8729  0.3772
Ni  0.8729  0.6237  0.3772
Ni  0.0000  0.0000  0.7501
Ni  0.6236  0.8746  0.8738
Ni  0.8746  0.6236  0.8738
Rh  0.2514  0.7486  0.2501
Rh  0.7486  0.2514  0.2501
Rh  0.0000  0.0000  0.5010
Rh  0.0000  0.0000  0.9992

Values from the calculation:
- Magnetization: 33.75 Bohr magnetons per cell
- SG: Cmmm
- ρ: 9.05 g/cm3

Which is most stable, and by how much? version two, by 10 meV per atom.